Record 1
InSnMo2Pd | PBEsol | relaxed

Calculated values
calculated formation energy: 169.7 kJ per mole of atoms

abc: 4.966 4.966 4.740
angles: 90.00 90.00 90.00
Positions (direct):
In  0.000  0.000  0.000
Sn  0.500  0.500  0.500
Mo  0.000  0.500  0.000
Mo  0.500  0.000  0.000
Pd  0.000  0.000  0.500



Record 2
LiCdPb2 | PBEsol | relaxed

Calculated values
calculated formation energy: -11.9 kJ per mole of atoms

abc: 4.760 4.760 4.294
angles: 90.00 90.00 90.00
Positions (direct):
Li  0.000  0.000  0.000
Cd  0.500  0.500  0.000
Pb  0.000  0.500  0.500
Pb  0.500  0.000  0.500



Record 3
Mg2ScCd | PBEsol | relaxed

Calculated values
calculated formation energy: -15.4 kJ per mole of atoms

abc: 3.971 4.584 4.686
angles: 90.00 90.00 90.00
Positions (direct):
Mg  0.000  0.000  0.000
Mg  0.500  0.500  0.000
Sc  0.000  0.500  0.500
Cd  0.500  0.000  0.500



Record 4
Y2InSbTe | PBEsol | relaxed

Calculated values
uncorrected formation energy: 0.131 eV per atom

abc: 5.750 5.750 5.144
angles: 90.00 90.00 90.00
Positions (direct):
Y  0.000  0.500  0.000
Y  0.500  0.000  0.000
In  0.000  0.000  0.000
Sb  0.000  0.000  0.500
Te  0.500  0.500  0.500



Record 5
MnCuSe4 | PBEsol | relaxed

Calculated values
uncorrected formation energy: -0.272 eV per atom

abc: 5.932 5.925 5.905
angles: 90.00 91.01 90.00
Positions (direct):
Mn  0.000  0.000  0.000
Mn  0.000  0.500  0.500
Cu  0.500  0.000  0.500
Cu  0.500  0.500  0.000
Se  0.105  0.132  0.635
Se  0.105  0.368  0.135
Se  0.370  0.614  0.612
Se  0.370  0.886  0.112
Se  0.630  0.114  0.888
Se  0.630  0.386  0.388
Se  0.895  0.632  0.865
Se  0.895  0.868  0.365



Record 6
NaTl2Pd2 | PBEsol | relaxed

Calculated values
calculated formation energy: -12.3 kJ per mole of atoms
relative energy among the computed polymorphs: 0.23 eV/f.u.

abc: 7.172 7.172 7.172
angles: 146.97 146.97 47.41
Positions (direct):
Na  0.000  0.000  0.000
Tl  0.386  0.386  0.000
Tl  0.614  0.614  0.000
Pd  0.250  0.750  0.500
Pd  0.750  0.250  0.500



Record 7
Mg2SiSb | PBEsol | relaxed

Calculated values
uncorrected formation energy: 0.054 eV per atom

abc: 3.170 4.430 6.025
angles: 90.00 90.00 90.00
Positions (direct):
Mg  0.000  0.000  0.000
Mg  0.500  0.500  0.313
Si  0.500  0.500  0.851
Sb  0.000  0.000  0.510



Record 8
As2P | PBEsol | relaxed

Calculated values
calculated formation energy: 32.3 kJ per mole of atoms
relative energy among the computed polymorphs: 0.68 eV/f.u.

abc: 4.832 4.832 2.643
angles: 90.00 90.00 120.00
Positions (direct):
As  0.333  0.667  0.000
As  0.667  0.333  0.000
P  0.000  0.000  0.000



Record 9
FeCu2Ir | PBEsol | relaxed

Calculated values
calculated formation energy: 9.7 kJ per mole of atoms
relative energy among the computed polymorphs: 0.09 eV/f.u.

abc: 4.518 4.518 4.384
angles: 100.50 100.50 33.48
Positions (direct):
Fe  0.000  0.000  0.000
Cu  0.251  0.251  0.756
Cu  0.749  0.749  0.244
Ir  0.500  0.500  0.500



Record 10
ZnCu2SiS4 | PBEsol | relaxed

Calculated values
uncorrected formation energy: -0.584 eV per atom

abc: 6.070 6.325 9.497
angles: 90.00 129.73 90.00
Positions (direct):
Zn  0.000  0.175  0.000
Zn  0.000  0.825  0.500
Cu  0.491  0.171  0.495
Cu  0.491  0.829  0.995
Cu  0.749  0.346  0.248
Cu  0.749  0.654  0.748
Si  0.253  0.327  0.748
Si  0.253  0.673  0.248
S  0.129  0.173  0.504
S  0.129  0.827  0.004
S  0.382  0.355  0.253
S  0.382  0.645  0.753
S  0.609  0.169  0.991
S  0.609  0.831  0.491
S  0.893  0.326  0.742
S  0.893  0.674  0.242



Record 11
Cs2MnS2 | PBEsol | relaxed

Calculated values
uncorrected formation energy: -0.936 eV per atom

abc: 8.382 8.382 8.382
angles: 129.02 70.16 135.22
Positions (direct):
Cs  0.149  0.164  0.313
Cs  0.351  0.664  0.014
Cs  0.649  0.336  0.986
Cs  0.851  0.836  0.687
Mn  0.250  0.750  0.500
Mn  0.750  0.250  0.500
S  0.094  0.675  0.769
S  0.406  0.175  0.580
S  0.594  0.825  0.420
S  0.906  0.325  0.231



Record 12
Ta4Te4P | PBEsol | relaxed

Calculated values
uncorrected formation energy: -0.509 eV per atom

abc: 10.461 18.283 4.787
angles: 90.00 90.00 90.00
Positions (direct):
Ta  0.066  0.115  0.000
Ta  0.096  0.892  0.500
Ta  0.190  0.055  0.500
Ta  0.203  0.963  0.000
Ta  0.297  0.463  0.000
Ta  0.310  0.555  0.500
Ta  0.404  0.392  0.500
Ta  0.434  0.615  0.000
Ta  0.566  0.385  0.000
Ta  0.596  0.608  0.500
Ta  0.690  0.445  0.500
Ta  0.703  0.537  0.000
Ta  0.797  0.037  0.000
Ta  0.810  0.945  0.500
Ta  0.904  0.108  0.500
Ta  0.934  0.885  0.000
Te  0.115  0.205  0.500
Te  0.142  0.433  0.500
Te  0.164  0.598  0.000
Te  0.170  0.809  0.000
Te  0.330  0.309  0.000
Te  0.336  0.098  0.000
Te  0.358  0.933  0.500
Te  0.385  0.705  0.500
Te  0.615  0.295  0.500
Te  0.642  0.067  0.500
Te  0.664  0.902  0.000
Te  0.670  0.691  0.000
Te  0.830  0.191  0.000
Te  0.836  0.402  0.000
Te  0.858  0.567  0.500
Te  0.885  0.795  0.500
P  0.000  0.000  0.250
P  0.000  0.000  0.750
P  0.500  0.500  0.250
P  0.500  0.500  0.750



Record 13
Sr2CrAu | PBEsol | relaxed

Calculated values
calculated formation energy: 30.4 kJ per mole of atoms

abc: 5.217 5.217 5.217
angles: 60.00 60.00 60.00
Positions (direct):
Sr  0.000  0.000  0.000
Sr  0.250  0.250  0.250
Cr  0.500  0.500  0.500
Au  0.750  0.750  0.750



Record 14
NbCoRe2B | PBEsol | relaxed

Calculated values
calculated formation energy: 303.0 kJ per mole of atoms

abc: 4.732 4.732 4.305
angles: 90.00 90.00 90.00
Positions (direct):
Nb  0.000  0.000  0.000
Co  0.000  0.000  0.500
Re  0.000  0.500  0.000
Re  0.500  0.000  0.000
B  0.500  0.500  0.500



Record 15
NaPd2PtO | PBEsol | relaxed

Calculated values
uncorrected formation energy: 2.022 eV per atom

abc: 4.579 4.579 4.642
angles: 90.00 90.00 90.00
Positions (direct):
Na  0.000  0.000  0.000
Pd  0.000  0.500  0.000
Pd  0.500  0.000  0.000
Pt  0.000  0.000  0.500
O  0.500  0.500  0.500



Record 16
ZrBeW2 | PBEsol | relaxed

Calculated values
calculated formation energy: 33.3 kJ per mole of atoms

abc: 5.197 5.197 5.197
angles: 137.45 137.45 61.74
Positions (direct):
Zr  0.000  0.000  0.000
Be  0.500  0.500  0.000
W  0.250  0.750  0.500
W  0.750  0.250  0.500



Record 17
AlBPS2 | PBEsol | relaxed

Calculated values
relative energy among the computed polymorphs: 2.24 eV/f.u.
uncorrected formation energy: 0.943 eV per atom

abc: 4.617 4.617 4.018
angles: 90.00 90.00 90.00
Positions (direct):
Al  0.000  0.000  0.000
B  0.000  0.000  0.500
P  0.500  0.500  0.500
S  0.000  0.500  0.000
S  0.500  0.000  0.000



Record 18
Li3V2P3O12 | PBEsol | relaxed

Calculated values
relative energy among the computed polymorphs: 0.41 eV/f.u.
uncorrected formation energy: -2.290 eV per atom

abc: 10.076 10.076 10.076
angles: 109.47 109.47 109.47
Positions (direct):
Li  0.125  0.250  0.375
Li  0.125  0.375  0.750
Li  0.250  0.375  0.125
Li  0.250  0.875  0.625
Li  0.375  0.125  0.250
Li  0.375  0.750  0.125
Li  0.625  0.250  0.875
Li  0.625  0.875  0.750
Li  0.750  0.125  0.375
Li  0.750  0.625  0.875
Li  0.875  0.625  0.250
Li  0.875  0.750  0.625
V  0.000  0.000  0.000
V  0.000  0.000  0.500
V  0.000  0.500  0.000
V  0.000  0.500  0.500
V  0.500  0.000  0.000
V  0.500  0.000  0.500
V  0.500  0.500  0.000
V  0.500  0.500  0.500
P  0.125  0.750  0.875
P  0.125  0.875  0.250
P  0.250  0.125  0.875
P  0.250  0.625  0.375
P  0.375  0.250  0.625
P  0.375  0.625  0.750
P  0.625  0.375  0.250
P  0.625  0.750  0.375
P  0.750  0.375  0.625
P  0.750  0.875  0.125
P  0.875  0.125  0.750
P  0.875  0.250  0.125
O  0.007  0.206  0.116
O  0.007  0.301  0.891
O  0.090  0.706  0.699
O  0.090  0.884  0.391
O  0.109  0.616  0.410
O  0.109  0.993  0.699
O  0.116  0.007  0.206
O  0.116  0.609  0.910
O  0.199  0.206  0.590
O  0.199  0.493  0.609
O  0.206  0.116  0.007
O  0.206  0.590  0.199
O  0.294  0.301  0.910
O  0.294  0.493  0.384
O  0.301  0.891  0.007
O  0.301  0.910  0.294
O  0.384  0.294  0.493
O  0.384  0.590  0.891
O  0.391  0.090  0.884
O  0.391  0.801  0.507
O  0.410  0.109  0.616
O  0.410  0.801  0.794
O  0.493  0.384  0.294
O  0.493  0.609  0.199
O  0.507  0.391  0.801
O  0.507  0.616  0.706
O  0.590  0.199  0.206
O  0.590  0.891  0.384
O  0.609  0.199  0.493
O  0.609  0.910  0.116
O  0.616  0.410  0.109
O  0.616  0.706  0.507
O  0.699  0.090  0.706
O  0.699  0.109  0.993
O  0.706  0.507  0.616
O  0.706  0.699  0.090
O  0.794  0.410  0.801
O  0.794  0.884  0.993
O  0.801  0.507  0.391
O  0.801  0.794  0.410
O  0.884  0.391  0.090
O  0.884  0.993  0.794
O  0.891  0.007  0.301
O  0.891  0.384  0.590
O  0.910  0.116  0.609
O  0.910  0.294  0.301
O  0.993  0.699  0.109
O  0.993  0.794  0.884



Record 19
Li2CaRh | PBEsol | relaxed

Calculated values
calculated formation energy: -3.6 kJ per mole of atoms
relative energy among the computed polymorphs: 0.21 eV/f.u.

abc: 4.547 4.547 4.547
angles: 60.00 60.00 60.00
Positions (direct):
Li  0.250  0.250  0.250
Li  0.750  0.750  0.750
Ca  0.000  0.000  0.000
Rh  0.500  0.500  0.500



Record 20
BeRhCl2 | PBEsol | relaxed

Calculated values
relative energy among the computed polymorphs: 0.00 eV/f.u.
uncorrected formation energy: -0.238 eV per atom

abc: 7.283 7.283 7.283
angles: 24.34 24.34 24.34
Positions (direct):
Be  0.000  0.000  0.000
Rh  0.500  0.500  0.500
Cl  0.394  0.394  0.394
Cl  0.606  0.606  0.606



Record 21
CaZrFe3 | PBEsol | relaxed

Calculated values
calculated formation energy: 104.9 kJ per mole of atoms

abc: 4.634 4.634 4.634
angles: 90.00 90.00 90.00
Positions (direct):
Ca  0.000  0.000  0.000
Zr  0.500  0.500  0.500
Fe  0.000  0.500  0.500
Fe  0.500  0.000  0.500
Fe  0.500  0.500  0.000



Record 22
ScAlSe2 | PBEsol | relaxed

Calculated values
uncorrected formation energy: -0.756 eV per atom

abc: 6.396 6.396 6.396
angles: 146.17 146.17 48.59
Positions (direct):
Sc  0.000  0.000  0.000
Al  0.250  0.750  0.500
Se  0.500  0.500  0.000
Se  0.750  0.250  0.500